[1]
Density functional theory data (meta-GGA SCAN) for TaTl2Mo at its PBEsol-relaxed geometry.

```
4
Lattice="-0.120 -0.863 2.822 4.175 -1.405 -0.253 1.882 5.286 1.696" Properties=species:S:1:pos:R:3 pbc="T T T"
Mo 2.027 -1.134 1.285
Ta 2.969 1.509 2.133
Tl 1.419 3.984 1.278
Tl 0.464 1.302 0.418
```

Calculated values
The energy relative to the lowest polymorph listed for this composition is 0.122 eV/atom. The calculation puts the formation energy at 0.82 eV per atom.

---

[2]
Density functional theory data (meta-GGA SCAN) for TiSn4O10 at its PBEsol-relaxed geometry.

```
30
Lattice="4.743 -0.001 0.000 0.006 5.693 -0.015 0.010 2.599 13.155" Properties=species:S:1:pos:R:3 pbc="T T T"
Ti 4.744 1.097 2.610
Ti 0.014 7.194 10.530
Sn 2.376 3.944 2.615
Sn 2.383 4.347 10.525
Sn 2.371 0.000 0.000
Sn 2.387 2.170 5.223
Sn 2.371 6.121 7.917
Sn 0.008 3.247 7.910
Sn 0.003 2.846 -0.007
Sn 4.750 5.043 5.230
O 3.849 1.173 0.868
O 3.850 7.280 8.776
O 3.853 5.615 11.273
O 3.847 5.215 3.358
O 3.849 3.366 6.045
O 3.361 2.708 11.334
O 3.357 2.291 3.397
O 3.266 4.425 8.680
O 3.295 6.223 6.056
O 3.266 4.009 0.765
O 1.397 5.583 1.806
O 1.463 2.068 7.084
O 1.493 4.281 12.375
O 1.401 6.000 9.743
O 1.492 3.865 4.460
O 0.909 7.118 12.272
O 0.911 3.076 9.782
O 0.908 1.011 4.364
O 0.906 2.676 1.867
O 0.909 4.925 7.095
```

Calculated values
The energy relative to the elements, uncorrected is -2093 meV/atom.

---

Table of VASP energy (eV/cell), in record order: -242.90; -506.84